Crystalline MgCr3Cl at its relaxed geometry, computed with PBE.

a b c (Å): 4.1741 4.1741 4.1741
angles (deg): 90.00 90.00 90.00
Space group Pm-3m (No. 221)
Inequivalent atoms, fractional coordinates:
Mg: 0.0000 0.0000 0.0000 x1
Cr: 0.0000 0.5000 0.5000 x3
Cl: 0.5000 0.5000 0.5000 x1

Summary:
Volume   73 Å³ per cell
Excess energy over the best structure of this formula in the dataset   0 meV/atom
ΔE_f (raw)   780 meV/atom

Crystalline Mg2CrCl at its relaxed geometry, computed with PBE.

a b c (Å): 4.5429 4.5552 7.7529
angles (deg): 90.00 90.00 90.00
Space group Cmmm (No. 65)
Inequivalent atoms, fractional coordinates:
Mg: 0.0000 0.0000 0.2362 x4
Cr: 0.0000 0.5000 0.0000 x2
Cl: 0.0000 0.5000 0.5000 x2

Summary:
Volume   160 Å³ per cell
Excess energy over the best structure of this formula in the dataset   79 meV/atom
ΔE_f (raw)   -136 meV/atom

Crystalline MgCrCl2 at its relaxed geometry, computed with PBE.

a b c (Å): 4.7779 4.7779 3.5718
angles (deg): 90.00 90.00 90.00
Space group P4/mmm (No. 123)
Inequivalent atoms, fractional coordinates:
Mg: 0.0000 0.0000 0.0000 x1
Cr: 0.5000 0.5000 0.0000 x1
Cl: 0.0000 0.5000 0.5000 x2

Summary:
Volume   82 Å³ per cell
Excess energy over the best structure of this formula in the dataset   408 meV/atom
ΔE_f (raw)   -234 meV/atom

Crystalline MgCr2Cl at its relaxed geometry, computed with PBE.

a b c (Å): 3.1880 4.1350 5.6195
angles (deg): 90.00 90.00 90.00
Space group Pmmm (No. 47)
Inequivalent atoms, fractional coordinates:
Mg: 0.0000 0.0000 0.0000 x1
Cr: 0.0000 0.5000 0.5000 x1
Cr: 0.5000 0.0000 0.5000 x1
Cl: 0.5000 0.5000 0.0000 x1

Summary:
Volume   74 Å³ per cell
Excess energy over the best structure of this formula in the dataset   319 meV/atom
ΔE_f (raw)   304 meV/atom

Crystalline MgCrCl at its relaxed geometry, computed with PBE.

a b c (Å): 4.5131 4.5131 3.4475
angles (deg): 90.00 90.00 120.00
Space group P-6m2 (No. 187)
Inequivalent atoms, fractional coordinates:
Mg: 0.0000 0.0000 0.0000 x1
Cr: 0.3333 0.6667 0.5000 x1
Cl: 0.6667 0.3333 0.5000 x1

Summary:
Volume   61 Å³ per cell
Excess energy over the best structure of this formula in the dataset   220 meV/atom
ΔE_f (raw)   153 meV/atom

Crystalline MgCr2Cl at its relaxed geometry, computed with PBE.

a b c (Å): 3.9664 3.9664 10.0806
angles (deg): 90.00 90.00 90.00
Space group I-4m2 (No. 119)
Inequivalent atoms, fractional coordinates:
Mg: 0.0000 0.0000 0.0000 x2
Cr: 0.0000 0.0000 0.5000 x2
Cr: 0.0000 0.5000 0.2500 x2
Cl: 0.0000 0.5000 0.7500 x2

Summary:
Volume   159 Å³ per cell
Excess energy over the best structure of this formula in the dataset   615 meV/atom
ΔE_f (raw)   601 meV/atom